# 1
## La3ErSn2 (GGA-PBE)

Data for a geometry-optimized La3ErSn2 structure.

Output
Size of the total moment   1.12 μB/f.u.
Space group   Ibam, No. 72
Formation energy   -0.594 eV per atom
Calculated total energy   -5.15 eV per atom
Volume   392.5 Å³/cell

Cell: 6.703 6.652 9.990 Å, 109.45 109.60 90.00°
Each line ends with the local moment (μB).
Element x y z (fractional)
La 0.432 0.676 0.353  0.12
La 0.568 0.324 0.647  0.12
La 0.079 0.824 0.647  0.12
La 0.921 0.176 0.353  0.12
La 0.500 0.750 0.000  0.10
La 0.500 0.250 0.000  0.10
Er 0.000 0.250 0.000  0.14
Er 0.000 0.750 0.000  0.14
Sn 0.372 0.134 0.268  0.00
Sn 0.628 0.866 0.732  0.00
Sn 0.104 0.366 0.732  0.00
Sn 0.896 0.634 0.268  0.00



# 2
## La2ErSn3 (GGA-PBE)

Data for a geometry-optimized La2ErSn3 structure.

Output
Size of the total moment   0.00 μB/f.u.
Space group   C2/c, No. 15
Formation energy   -0.575 eV per atom
Calculated total energy   -4.98 eV per atom
Volume   383.8 Å³/cell

Cell: 6.453 7.414 8.842 Å, 102.08 111.40 90.00°
Element x y z (fractional)
La 0.666 0.584 0.336
La 0.670 0.084 0.336
La 0.330 0.916 0.664
La 0.334 0.416 0.664
Er 0.998 0.750 0.000
Er 0.002 0.250 0.000
Sn 0.502 0.250 0.000
Sn 0.498 0.750 0.000
Sn 0.161 0.080 0.319
Sn 0.842 0.420 0.681
Sn 0.158 0.580 0.319
Sn 0.839 0.920 0.681



# 3
## La3ErSn4 (GGA-PBE)

Data for a geometry-optimized La3ErSn4 structure.

Output
Size of the total moment   0.00 μB/f.u.
Space group   Immm, No. 71
Formation energy   -0.607 eV per atom
Calculated total energy   -5.03 eV per atom
Volume   265.4 Å³/cell

Cell: 4.184 7.164 9.776 Å, 111.49 102.36 90.00°
Element x y z (fractional)
La 0.000 0.500 0.000
La 0.204 0.204 0.408
La 0.796 0.796 0.592
Er 0.500 0.000 0.000
Sn 0.373 0.579 0.747
Sn 0.627 0.421 0.253
Sn 0.626 0.832 0.253
Sn 0.374 0.168 0.747



What did the first record say?
## La3ErSn2 (GGA-PBE)

Data for a geometry-optimized La3ErSn2 structure.

Output
Size of the total moment   1.12 μB/f.u.
Space group   Ibam, No. 72
Formation energy   -0.594 eV per atom
Calculated total energy   -5.15 eV per atom
Volume   392.5 Å³/cell

Cell: 6.703 6.652 9.990 Å, 109.45 109.60 90.00°
Each line ends with the local moment (μB).
Element x y z (fractional)
La 0.432 0.676 0.353  0.12
La 0.568 0.324 0.647  0.12
La 0.079 0.824 0.647  0.12
La 0.921 0.176 0.353  0.12
La 0.500 0.750 0.000  0.10
La 0.500 0.250 0.000  0.10
Er 0.000 0.250 0.000  0.14
Er 0.000 0.750 0.000  0.14
Sn 0.372 0.134 0.268  0.00
Sn 0.628 0.866 0.732  0.00
Sn 0.104 0.366 0.732  0.00
Sn 0.896 0.634 0.268  0.00